[1]
4
Lattice="0.000 3.864 3.864 3.864 0.000 3.864 3.864 3.864 0.000" Properties=species:S:1:pos:R:3 comment="SrPuAgSn (PBE, relaxed)" e_tot_ev_per_atom=-5.95 ef_ev_per_atom=-0.235 pbc="T T T"
Sr 0.000 0.000 0.000
Pu 3.864 3.864 3.864
Ag 1.932 1.932 1.932
Sn 5.796 5.796 5.796

=====

[2]
3
Lattice="-1.852 1.852 6.548 1.852 -1.852 6.548 1.852 1.852 -6.548" Properties=species:S:1:pos:R:3 comment="LaTmCd (PBE, relaxed)" e_tot_ev_per_atom=-3.63 ef_ev_per_atom=-0.188 pbc="T T T"
La 0.000 0.000 0.000
Tm 0.000 0.000 4.065
Cd 0.000 0.000 8.815

=====

[3]
6
Lattice="0.000 4.928 4.928 4.928 0.000 4.928 4.928 4.928 0.000" Properties=species:S:1:pos:R:3 comment="K4InW (PBE, relaxed)" e_tot_ev_per_atom=-2.11 ef_ev_per_atom=1.238 pbc="T T T"
K 1.228 1.228 1.228
K 3.700 3.700 1.228
K 3.700 1.228 3.700
K 1.228 3.700 3.700
In 4.928 4.928 4.928
W 7.392 7.392 7.392